The following is a DFT calculation (GGA-PBE) of an optimized crystal structure of Na2TeMo2.

Electronic total energy (eV/atom): -4.932
Excess energy over the best structure of this formula in the dataset (eV per atom): 0.000
DOS(E_F) (states/eV per cell): 5.5
Calculated volume (Å³ per cell): 246.5
Crystal system: tetragonal

The structure in POSCAR format:
```
Na2TeMo2
1.0
6.776 0.000 0.000
0.000 6.776 0.000
0.000 0.000 5.368
Na Te Mo
4 2 4
Cartesian
1.164 2.224 0.000
2.224 5.612 0.000
4.552 1.164 0.000
5.612 4.552 0.000
0.000 0.000 2.684
3.388 3.388 2.684
0.772 4.161 2.684
2.616 0.772 2.684
4.161 6.004 2.684
6.004 2.616 2.684
```